No. 1
Compound: NbMo3Ir
Source: the Alexandria database
Functional: PBE
Structure: optimized geometry

Cell: 4.647 4.647 4.647 Å, 90.00 90.00 90.00°
Element x y z (fractional)
1 Nb 0.000 0.000 0.000
2 Mo 0.000 0.000 0.500
3 Mo 0.000 0.500 0.000
4 Mo 0.500 0.000 0.000
5 Ir 0.500 0.500 0.500

Properties
- ΔE to the lowest computed polymorph: 0.464 eV per atom
- Magnetization: 0.0 μB per cell

***

No. 2
Compound: SmHgBi
Source: the Alexandria database
Functional: PBE
Structure: optimized geometry

Cell: 5.263 5.263 5.263 Å, 60.00 60.00 60.00°
Element x y z (fractional)
1 Sm 0.000 0.000 0.000
2 Hg 0.750 0.750 0.750
3 Bi 0.250 0.250 0.250

Properties
- ΔE to the lowest computed polymorph: 0.076 eV per atom
- Magnetization: 0.0 μB per cell

***

No. 3
Compound: ErPu2Si2Au2
Source: the Alexandria database
Functional: PBE
Structure: optimized geometry

Cell: 9.663 9.663 9.663 Å, 24.26 24.26 24.26°
Element x y z (fractional)
1 Er 0.000 0.000 0.000
2 Pu 0.151 0.151 0.151
3 Pu 0.849 0.849 0.849
4 Si 0.250 0.250 0.250
5 Si 0.750 0.750 0.750
6 Au 0.399 0.399 0.399
7 Au 0.601 0.601 0.601

Properties
- Formation energy (no corrections): -0.3578 eV/atom
- Magnetization: 0.0 μB per cell

***

> What is the formula in the first record?

NbMo3Ir